# 1
A geometry-optimized BaLa3H structure. Source: the Alexandria database, functional PBE-GGA.

As for the size of the total moment: 0.00 μB/atom. For the energy, the calculation gives -20.328 eV per cell. The value obtained for the density of states at the Fermi level is 6.75 states/eV/cell.

It has space group Pm-3m (No. 221), with a = 5.425 Å, b = 5.425 Å, c = 5.425 Å, α = 90.00°, β = 90.00° and γ = 90.00°. The asymmetric unit holds Ba at (0.000, 0.000, 0.000), La at (0.000, 0.500, 0.500) and H at (0.500, 0.500, 0.500).

---

# 2
A geometry-optimized MgBeIn2 structure. Source: the Alexandria database, functional PBE-GGA.

As for the size of the total moment: 0.00 μB/atom. For the energy, the calculation gives -19.714 eV per cell. As for the formation energy: 235 meV per atom. The value obtained for the density of states at the Fermi level is 2.83 states/eV/cell.

It has space group Imm2 (No. 44), with a = 3.135 Å, b = 4.279 Å, c = 12.661 Å, α = 90.00°, β = 90.00° and γ = 90.00°. The asymmetric unit holds Mg at (0.000, 0.000, 0.000), Be at (0.000, 0.500, 0.314), In at (0.000, 0.000, 0.630) and In at (0.000, 0.500, 0.822).

---

# 3
A geometry-optimized ZnCu2Tc structure. Source: the Alexandria database, functional PBE-GGA.

As for the size of the total moment: 0.00 μB/atom. For the energy, the calculation gives -19.222 eV per cell. As for the formation energy: 153 meV per atom. The value obtained for the density of states at the Fermi level is 2.64 states/eV/cell.

It has space group Pmm2 (No. 25), with a = 2.566 Å, b = 3.732 Å, c = 5.496 Å, α = 90.00°, β = 90.00° and γ = 90.00°. The asymmetric unit holds Zn at (0.000, 0.000, 0.000), Cu at (0.000, 0.000, 0.477), Cu at (0.500, 0.500, 0.239) and Tc at (0.500, 0.500, 0.730).

---

# 4
A geometry-optimized AlZnAu4 structure. Source: the Alexandria database, functional PBE-GGA.

As for the size of the total moment: 0.00 μB/atom. For the energy, the calculation gives -70.487 eV per cell. As for the formation energy: 84 meV per atom. The value obtained for the density of states at the Fermi level is 10.90 states/eV/cell.

It has space group I4_1md (No. 109), with a = 7.790 Å, b = 7.790 Å, c = 8.741 Å, α = 90.00°, β = 90.00° and γ = 90.00°. The asymmetric unit holds Al at (0.000, 0.000, 0.000), Zn at (0.000, 0.000, 0.502), Au at (0.000, 0.180, 0.755) and Au at (0.000, 0.181, 0.247).

---

# 5
A geometry-optimized Hg3W structure. Source: the Alexandria database, functional PBE-GGA.

As for the size of the total moment: 0.00 μB/atom. For the energy, the calculation gives -10.610 eV per cell. As for the formation energy: 812 meV per atom. The value obtained for the density of states at the Fermi level is 2.40 states/eV/cell.

It has space group P2/m (No. 10), with a = 2.956 Å, b = 5.101 Å, c = 5.431 Å, α = 90.00°, β = 90.29° and γ = 90.00°. The asymmetric unit holds Hg at (0.000, 0.000, 0.000), Hg at (0.237, 0.500, 0.735) and W at (0.500, 0.000, 0.500).

---

# 6
A geometry-optimized Ca2ZnTcO6 structure. Source: the Alexandria database, functional PBE-GGA.

As for the size of the total moment: 0.10 μB/atom. For the energy, the calculation gives -64.963 eV per cell. The calculation puts the raw formation energy at -19.6 eV per formula unit. The value obtained for the density of states at the Fermi level is 0.14 states/eV/cell.

It has space group P4mm (No. 99), with a = 5.246 Å, b = 5.246 Å, c = 5.014 Å, α = 90.00°, β = 90.00° and γ = 90.00°. The asymmetric unit holds Ca at (0.000, 0.500, 0.000), Zn at (0.000, 0.000, 0.546), Tc at (0.500, 0.500, 0.578), O at (0.000, 0.000, 0.169), O at (0.262, 0.262, 0.714) and O at (0.500, 0.500, 0.223).